Compound: CoTePbO
Source: OQMD
Functional: PBE+U
Structure: optimized geometry

a b c (Å): 6.3552 9.3701 6.1967
angles (deg): 90.00 90.00 90.00
Last column: nearest neighbours and their distance in Å.
Element x y z (fractional)
Co (0.1122, 0.0527, 0.0000)  3 O 1.98-2.12
Co (0.3878, 0.0527, 0.5000)  3 O 1.98-2.12
Co (0.6122, 0.9473, 0.0000)  3 O 1.98-2.12
Co (0.8878, 0.9473, 0.5000)  3 O 1.98-2.12
Te (0.0121, 0.6775, 0.6029)  1 Co 2.72
Te (0.4879, 0.6775, 0.1029)  1 Co 2.72
Te (0.5121, 0.3225, 0.6029)  1 Co 2.72
Te (0.9879, 0.3225, 0.1029)  1 Co 2.72
Pb (0.0166, 0.3115, 0.6062)  1 O 2.48
Pb (0.4834, 0.3115, 0.1062)  1 O 2.48
Pb (0.5166, 0.6885, 0.6062)  1 O 2.48
Pb (0.9834, 0.6885, 0.1062)  1 O 2.48
O (0.1061, 0.0565, 0.6586)  3 Co 1.98-2.12
O (0.3939, 0.0565, 0.1586)  3 Co 1.98-2.12
O (0.6061, 0.9435, 0.6586)  3 Co 1.98-2.12
O (0.8939, 0.9435, 0.1586)  3 Co 1.98-2.12

E_tot = -4.78 eV per atom